Density functional theory data (GGA-PBE) for K3LaP2O8 after structural relaxation.

a = 5.756 Å, b = 7.612 Å, c = 9.744 Å
α = 88.82°, β = 90.00°, γ = 90.00°
Positions (direct):
1 K 0.750 0.204 0.915
2 K 0.250 0.796 0.085
3 K 0.750 0.642 0.593
4 K 0.250 0.358 0.407
5 K 0.750 0.493 0.191
6 K 0.250 0.507 0.809
7 La 0.750 0.994 0.291
8 La 0.250 0.006 0.709
9 P 0.750 0.198 0.573
10 P 0.250 0.802 0.427
11 P 0.250 0.236 0.085
12 P 0.750 0.764 0.915
13 O 0.750 0.995 0.554
14 O 0.250 0.005 0.446
15 O 0.750 0.285 0.426
16 O 0.250 0.715 0.574
17 O 0.529 0.254 0.653
18 O 0.029 0.746 0.347
19 O 0.471 0.746 0.347
20 O 0.971 0.254 0.653
21 O 0.471 0.156 0.157
22 O 0.971 0.844 0.843
23 O 0.529 0.844 0.843
24 O 0.029 0.156 0.157
25 O 0.250 0.182 0.931
26 O 0.750 0.818 0.069
27 O 0.250 0.437 0.100
28 O 0.750 0.563 0.900

Summary:
Space group ... P2_1/m
Formation energy from raw total energies ... -2598.7 meV per atom
Calculated volume ... 15.24 Å³/atom
N(E_F) ... 0.0 states/eV/f.u.

Density functional theory data (GGA-PBE) for LaEr5Ag4 after structural relaxation.

a = 3.574 Å, b = 3.574 Å, c = 19.927 Å
α = 90.00°, β = 90.00°, γ = 90.00°
Positions (direct):
1 La 0.000 0.000 0.000
2 Er 0.500 0.500 0.133
3 Er 0.500 0.500 0.315
4 Er 0.500 0.500 0.500
5 Er 0.500 0.500 0.685
6 Er 0.500 0.500 0.867
7 Ag 0.000 0.000 0.223
8 Ag 0.000 0.000 0.408
9 Ag 0.000 0.000 0.592
10 Ag 0.000 0.000 0.777

Summary:
Space group ... P4/mmm
Calculated volume ... 25.45 Å³/atom
Formation energy from the elements ... -0.257 eV/atom
N(E_F) ... 7.2 states/eV/f.u.